A relaxed structure of Ce2PN4. Source: Alexandria, functional PBE.

The structure in POSCAR format:
```
Ce2PN4
1.0
-1.510 0.070 3.494
-3.456 -0.594 -1.481
3.578 -7.686 -0.373
N P Ce
4 1 2
Cartesian
-1.599 -6.676 1.517 N
-1.181 -4.271 -0.424 N
-0.207 -3.939 2.064 N
0.211 -1.534 0.122 N
0.000 0.000 0.000 P
0.712 -5.166 0.412 Ce
-2.100 -3.044 1.228 Ce
```

For the energy above the most stable polymorph in this dataset, the calculation gives 0.4496 eV per atom. As for the uncorrected formation energy: -0.7237 eV/atom. The calculation puts the raw total energy at -7.949 eV/atom. The value obtained for the total moment is 0.0 μB per formula unit. As for the density of states at the Fermi level: 0.36 states/eV/atom.